# LiNdS2

LiNdS2 at its PBEsol-relaxed geometry (SCAN, Alexandria).

Summary:
Size of the total moment in μB/atom: 0.000
Crystal system: trigonal
Raw formation energy in eV per atom: -2.0344

a = 4.011 Å, b = 4.011 Å, c = 6.521 Å
α = 72.09°, β = 72.09°, γ = 60.00°
Fractional positions:
S  0.247  0.247  0.259
S  0.753  0.753  0.741
Nd  0.000  0.000  0.000
Li  0.500  0.500  0.500

=====

# LiNdS2

LiNdS2 at its PBEsol-relaxed geometry (SCAN, Alexandria).

Summary:
Size of the total moment in μB/atom: 0.000
Crystal system: tetragonal
Raw formation energy in eV per atom: -1.9709

a = 3.994 Å, b = 3.994 Å, c = 5.457 Å
α = 90.00°, β = 90.00°, γ = 90.00°
Fractional positions:
S  0.500  0.500  0.000
S  0.000  0.000  0.500
Li  0.500  0.500  0.500
Nd  0.000  0.000  0.000

=====

# LiNdS2

LiNdS2 at its PBEsol-relaxed geometry (SCAN, Alexandria).

Summary:
Size of the total moment in μB/atom: 0.000
Crystal system: tetragonal
Raw formation energy in eV per atom: -2.0319

a = 5.568 Å, b = 5.568 Å, c = 6.862 Å
α = 113.94°, β = 113.94°, γ = 90.00°
Fractional positions:
Nd  0.000  0.000  0.000
Nd  0.250  0.750  0.500
S  0.499  0.999  0.998
S  0.751  0.751  0.502
S  0.001  0.501  0.002
S  0.249  0.249  0.498
Li  0.500  0.500  0.000
Li  0.750  0.250  0.500

=====

Which value of raw formation energy does entry 1 give?
-2.0344 eV per atom

=====

What is the formula in the third record?
LiNdS2